An optimized crystal structure of Er2Zn2CdPt5, computed with GGA-PBE.

## Properties
uncorrected energy: -5.090 eV per atom
crystal system: tetragonal
energy of formation: -0.811 eV per atom

Unit cell a=9.5798 b=9.5798 c=3.8674 alpha=90.00 beta=90.00 gamma=90.00
Space group P4/mbm (No. 127)
Inequivalent atoms, fractional coordinates:
Er  0.1767  0.3233  0.0000 x4
Zn  0.1206  0.6206  0.0000 x4
Cd  0.0000  0.0000  0.0000 x2
Pt  0.0000  0.5000  0.5000 x2
Pt  0.0694  0.7928  0.5000 x8